## A
DFT (PBE) results for Pm3Ho4Th2 after structural relaxation.

a b c (Å): 8.015 8.015 7.981
angles (deg): 107.30 107.30 36.89
Positions (direct):
Pm 0.000 0.000 0.000
Pm 0.114 0.114 0.674
Pm 0.886 0.886 0.326
Ho 0.222 0.222 0.328
Ho 0.444 0.444 0.670
Ho 0.556 0.556 0.330
Ho 0.778 0.778 0.672
Th 0.331 0.331 0.000
Th 0.669 0.669 0.000

## Properties
Total magnetic moment = 0.00 μB/f.u.
SG = No. 12
Density = 8.9 g/cm3



## B
DFT (PBE) results for Pm3Ho4Th2 after structural relaxation.

a b c (Å): 7.083 8.461 10.341
angles (deg): 98.69 100.22 101.87
Positions (direct):
Pm 0.027 0.167 0.448
Pm 0.145 0.830 0.238
Pm 0.256 0.500 0.004
Pm 0.744 0.500 0.996
Pm 0.855 0.170 0.762
Pm 0.973 0.833 0.552
Ho 0.060 0.841 0.891
Ho 0.178 0.529 0.663
Ho 0.363 0.168 0.764
Ho 0.476 0.834 0.556
Ho 0.524 0.166 0.444
Ho 0.637 0.832 0.236
Ho 0.822 0.471 0.337
Ho 0.940 0.159 0.109
Th 0.327 0.475 0.341
Th 0.440 0.155 0.108
Th 0.560 0.845 0.892
Th 0.673 0.525 0.659

## Properties
Total magnetic moment = 0.00 μB/f.u.
SG = No. 2
Density = 8.8 g/cm3



Which one sits at the top of the stability order? A does.



## A
DFT (PBE) results for PmHoTh after structural relaxation.

a b c (Å): 5.658 5.658 7.015
angles (deg): 90.00 90.00 119.97
Positions (direct):
Pm 0.166 0.834 0.750
Pm 0.834 0.166 0.250
Ho 0.166 0.834 0.250
Ho 0.834 0.166 0.750
Th 0.500 0.500 0.000
Th 0.500 0.500 0.500

## Properties
Total magnetic moment = 0.00 μB/f.u.
SG = No. 63
Density = 9.3 g/cm3



## B
DFT (PBE) results for PmHoTh after structural relaxation.

a b c (Å): 7.970 7.970 7.970
angles (deg): 153.89 153.89 37.26
Positions (direct):
Pm 0.000 0.000 0.000
Ho 0.680 0.680 0.000
Th 0.337 0.337 0.000

## Properties
Total magnetic moment = 0.00 μB/f.u.
SG = No. 107
Density = 9.2 g/cm3



Which one sits at the top of the stability order? B does.



## A
DFT (PBE) results for Pm3HoTh2 after structural relaxation.

a b c (Å): 10.165 3.616 10.794
angles (deg): 90.00 90.32 90.00
Positions (direct):
Pm 0.123 0.250 0.250
Pm 0.137 0.250 0.917
Pm 0.368 0.750 0.416
Pm 0.632 0.250 0.584
Pm 0.863 0.750 0.083
Pm 0.877 0.750 0.750
Ho 0.375 0.750 0.750
Ho 0.625 0.250 0.250
Th 0.122 0.250 0.582
Th 0.384 0.750 0.082
Th 0.616 0.250 0.918
Th 0.878 0.750 0.418

## Properties
Total magnetic moment = 0.00 μB/f.u.
SG = No. 11
Density = 8.9 g/cm3



## B
DFT (PBE) results for Pm3HoTh2 after structural relaxation.

a b c (Å): 7.615 7.615 7.615
angles (deg): 102.04 102.04 102.04
Positions (direct):
Pm 0.165 0.165 0.664
Pm 0.165 0.664 0.165
Pm 0.336 0.835 0.835
Pm 0.664 0.165 0.165
Pm 0.835 0.336 0.835
Pm 0.835 0.835 0.336
Ho 0.337 0.337 0.337
Ho 0.663 0.663 0.663
Th 0.000 0.000 0.000
Th 0.000 0.500 0.500
Th 0.500 0.000 0.500
Th 0.500 0.500 0.000

## Properties
Total magnetic moment = 0.00 μB/f.u.
SG = No. 166
Density = 8.7 g/cm3



Which one sits at the top of the stability order? A does.



## A
DFT (PBE) results for Pm2Ho5Th4 after structural relaxation.

a b c (Å): 9.021 9.021 6.580
angles (deg): 98.94 98.94 43.49
Positions (direct):
Pm 0.197 0.197 0.326
Pm 0.803 0.803 0.674
Ho 0.000 0.000 0.500
Ho 0.175 0.654 0.097
Ho 0.346 0.825 0.903
Ho 0.654 0.175 0.097
Ho 0.825 0.346 0.903
Th 0.249 0.249 0.841
Th 0.409 0.409 0.592
Th 0.591 0.591 0.408
Th 0.751 0.751 0.159

## Properties
Total magnetic moment = 0.00 μB/f.u.
SG = No. 12
Density = 9.3 g/cm3



## B
DFT (PBE) results for Pm2Ho5Th4 after structural relaxation.

a b c (Å): 3.565 8.901 11.818
angles (deg): 95.94 98.57 101.52
Positions (direct):
Pm 0.152 0.327 0.475
Pm 0.848 0.673 0.525
Ho 0.120 0.061 0.672
Ho 0.469 0.238 0.201
Ho 0.500 0.500 0.000
Ho 0.531 0.762 0.799
Ho 0.880 0.939 0.328
Th 0.175 0.590 0.262
Th 0.207 0.856 0.061
Th 0.793 0.144 0.939
Th 0.825 0.410 0.738

## Properties
Total magnetic moment = 0.00 μB/f.u.
SG = No. 2
Density = 9.4 g/cm3



Which one sits at the top of the stability order? B does.



## A
DFT (PBE) results for Pm5Ho4Th after structural relaxation.

a b c (Å): 9.271 9.271 10.553
angles (deg): 96.58 96.58 22.23
Positions (direct):
Pm 0.000 0.000 0.000
Pm 0.310 0.310 0.904
Pm 0.361 0.361 0.277
Pm 0.639 0.639 0.723
Pm 0.690 0.690 0.096
Ho 0.181 0.181 0.416
Ho 0.452 0.452 0.739
Ho 0.548 0.548 0.261
Ho 0.819 0.819 0.584
Th 0.000 0.000 0.500

## Properties
Total magnetic moment = 0.00 μB/f.u.
SG = No. 12
Density = 7.9 g/cm3



## B
DFT (PBE) results for Pm5Ho4Th after structural relaxation.

a b c (Å): 8.709 8.709 11.517
angles (deg): 108.27 108.27 23.49
Positions (direct):
Pm 0.000 0.000 0.000
Pm 0.297 0.297 0.389
Pm 0.310 0.310 0.918
Pm 0.690 0.690 0.082
Pm 0.703 0.703 0.611
Ho 0.105 0.105 0.798
Ho 0.418 0.418 0.704
Ho 0.582 0.582 0.296
Ho 0.895 0.895 0.202
Th 0.000 0.000 0.500

## Properties
Total magnetic moment = 0.00 μB/f.u.
SG = No. 12
Density = 8.1 g/cm3



Which one sits at the top of the stability order? B does.



## A
DFT (PBE) results for Pm5Ho12Th2 after structural relaxation.

a b c (Å): 6.183 9.431 11.259
angles (deg): 89.95 79.32 71.06
Positions (direct):
Pm 0.000 0.000 0.000
Pm 0.258 0.163 0.475
Pm 0.473 0.685 0.052
Pm 0.527 0.315 0.948
Pm 0.742 0.837 0.525
Ho 0.052 0.632 0.892
Ho 0.105 0.265 0.789
Ho 0.158 0.892 0.685
Ho 0.318 0.786 0.370
Ho 0.366 0.422 0.267
Ho 0.422 0.051 0.158
Ho 0.578 0.949 0.842
Ho 0.634 0.578 0.733
Ho 0.682 0.214 0.630
Ho 0.842 0.108 0.315
Ho 0.895 0.735 0.211
Ho 0.948 0.368 0.108
Th 0.215 0.525 0.577
Th 0.785 0.475 0.423

## Properties
Total magnetic moment = 0.00 μB/f.u.
SG = No. 2
Density = 8.6 g/cm3



## B
DFT (PBE) results for Pm5Ho12Th2 after structural relaxation.

a b c (Å): 9.085 9.085 8.633
angles (deg): 92.04 92.04 62.14
Positions (direct):
Pm 0.000 0.000 0.000
Pm 0.231 0.231 0.070
Pm 0.297 0.297 0.479
Pm 0.703 0.703 0.521
Pm 0.769 0.769 0.930
Ho 0.030 0.674 0.259
Ho 0.075 0.075 0.377
Ho 0.181 0.562 0.834
Ho 0.326 0.970 0.741
Ho 0.438 0.819 0.166
Ho 0.442 0.442 0.169
Ho 0.558 0.558 0.831
Ho 0.562 0.181 0.834
Ho 0.674 0.030 0.259
Ho 0.819 0.438 0.166
Ho 0.925 0.925 0.623
Ho 0.970 0.326 0.741
Th 0.327 0.673 0.500
Th 0.673 0.327 0.500

## Properties
Total magnetic moment = 0.00 μB/f.u.
SG = No. 12
Density = 8.4 g/cm3



Which one sits at the top of the stability order? A does.



## A
DFT (PBE) results for Pm12Ho5Th2 after structural relaxation.

a b c (Å): 10.777 10.777 6.181
angles (deg): 101.01 101.01 65.68
Positions (direct):
Pm 0.044 0.561 0.802
Pm 0.058 0.058 0.269
Pm 0.149 0.645 0.391
Pm 0.355 0.851 0.609
Pm 0.379 0.379 0.999
Pm 0.439 0.956 0.198
Pm 0.561 0.044 0.802
Pm 0.621 0.621 0.001
Pm 0.645 0.149 0.391
Pm 0.851 0.355 0.609
Pm 0.942 0.942 0.731
Pm 0.956 0.439 0.198
Ho 0.179 0.179 0.854
Ho 0.286 0.286 0.446
Ho 0.500 0.500 0.500
Ho 0.714 0.714 0.554
Ho 0.821 0.821 0.146
Th 0.274 0.726 0.000
Th 0.726 0.274 0.000

## Properties
Total magnetic moment = 0.00 μB/f.u.
SG = No. 12
Density = 7.9 g/cm3



## B
DFT (PBE) results for Pm12Ho5Th2 after structural relaxation.

a b c (Å): 9.441 9.441 8.239
angles (deg): 90.34 90.34 61.03
Positions (direct):
Pm 0.048 0.048 0.217
Pm 0.098 0.532 0.717
Pm 0.116 0.669 0.119
Pm 0.331 0.884 0.881
Pm 0.339 0.339 0.375
Pm 0.468 0.902 0.283
Pm 0.532 0.098 0.717
Pm 0.661 0.661 0.625
Pm 0.669 0.116 0.119
Pm 0.884 0.331 0.881
Pm 0.902 0.468 0.283
Pm 0.952 0.952 0.783
Ho 0.144 0.144 0.567
Ho 0.250 0.250 0.027
Ho 0.500 0.500 0.000
Ho 0.750 0.750 0.973
Ho 0.856 0.856 0.433
Th 0.281 0.719 0.500
Th 0.719 0.281 0.500

## Properties
Total magnetic moment = 0.00 μB/f.u.
SG = No. 12
Density = 7.8 g/cm3



Which one sits at the top of the stability order? A does.



## A
DFT (PBE) results for Pm8Ho2Th after structural relaxation.

a b c (Å): 8.543 8.543 5.433
angles (deg): 90.00 90.00 105.21
Positions (direct):
Pm 0.168 0.168 0.000
Pm 0.203 0.466 0.500
Pm 0.248 0.752 0.000
Pm 0.466 0.203 0.500
Pm 0.534 0.797 0.500
Pm 0.752 0.248 0.000
Pm 0.797 0.534 0.500
Pm 0.832 0.832 0.000
Ho 0.120 0.880 0.500
Ho 0.880 0.120 0.500
Th 0.500 0.500 0.000

## Properties
Total magnetic moment = 0.00 μB/f.u.
SG = No. 65
Density = 7.5 g/cm3



## B
DFT (PBE) results for Pm8Ho2Th after structural relaxation.

a b c (Å): 9.595 9.595 6.146
angles (deg): 105.94 105.94 43.49
Positions (direct):
Pm 0.028 0.028 0.252
Pm 0.160 0.604 0.335
Pm 0.295 0.295 0.736
Pm 0.396 0.840 0.665
Pm 0.604 0.160 0.335
Pm 0.705 0.705 0.264
Pm 0.840 0.396 0.665
Pm 0.972 0.972 0.748
Ho 0.198 0.198 0.150
Ho 0.802 0.802 0.850
Th 0.500 0.500 0.000

## Properties
Total magnetic moment = 0.00 μB/f.u.
SG = No. 12
Density = 7.7 g/cm3



Which one sits at the top of the stability order? A does.



## A
DFT (PBE) results for Pm2Ho7Th2 after structural relaxation.

a b c (Å): 10.507 10.507 3.597
angles (deg): 99.84 99.84 67.30
Positions (direct):
Pm 0.116 0.116 0.118
Pm 0.884 0.884 0.882
Ho 0.083 0.582 0.332
Ho 0.305 0.305 0.804
Ho 0.418 0.917 0.668
Ho 0.500 0.500 0.500
Ho 0.582 0.083 0.332
Ho 0.695 0.695 0.196
Ho 0.917 0.418 0.668
Th 0.237 0.763 0.000
Th 0.763 0.237 0.000

## Properties
Total magnetic moment = 0.00 μB/f.u.
SG = No. 12
Density = 8.8 g/cm3



## B
DFT (PBE) results for Pm2Ho7Th2 after structural relaxation.

a b c (Å): 7.992 7.992 6.117
angles (deg): 106.14 106.14 91.99
Positions (direct):
Pm 0.214 0.786 0.000
Pm 0.786 0.214 0.000
Ho 0.000 0.000 0.500
Ho 0.067 0.589 0.331
Ho 0.243 0.243 0.078
Ho 0.411 0.933 0.669
Ho 0.589 0.067 0.331
Ho 0.757 0.757 0.922
Ho 0.933 0.411 0.669
Th 0.409 0.409 0.688
Th 0.591 0.591 0.312

## Properties
Total magnetic moment = 0.00 μB/f.u.
SG = No. 12
Density = 8.9 g/cm3



Which one sits at the top of the stability order? A does.



## A
DFT (PBE) results for Pm2Ho3Th after structural relaxation.

a b c (Å): 9.756 9.756 9.756
angles (deg): 159.99 140.54 44.63
Positions (direct):
Pm 0.182 0.182 0.000
Pm 0.818 0.818 0.000
Ho 0.000 0.500 0.500
Ho 0.348 0.848 0.500
Ho 0.652 0.152 0.500
Th 0.500 0.500 0.000

## Properties
Total magnetic moment = 0.00 μB/f.u.
SG = No. 71
Density = 8.4 g/cm3



## B
DFT (PBE) results for Pm2Ho3Th after structural relaxation.

a b c (Å): 6.202 6.202 14.309
angles (deg): 106.84 106.84 48.17
Positions (direct):
Pm 0.002 0.002 0.373
Pm 0.003 0.003 0.128
Pm 0.997 0.997 0.872
Pm 0.998 0.998 0.627
Ho 0.330 0.330 0.457
Ho 0.332 0.332 0.209
Ho 0.333 0.333 0.957
Ho 0.667 0.667 0.043
Ho 0.668 0.668 0.791
Ho 0.670 0.670 0.543
Th 0.332 0.332 0.709
Th 0.668 0.668 0.291

## Properties
Total magnetic moment = 0.00 μB/f.u.
SG = No. 12
Density = 8.7 g/cm3



Which one sits at the top of the stability order? B does.